# PBE-GGA LuMgTlNi, relaxed
data_LuMgTlNi
_chemical_formula_sum 'Lu1 Mg1 Tl1 Ni1'
_cell_length_a 4.850
_cell_length_b 4.850
_cell_length_c 4.850
_cell_angle_alpha 60.00
_cell_angle_beta 60.00
_cell_angle_gamma 60.00
_space_group_name_H-M_alt 'P 1'
_space_group_IT_number 1
loop_
_space_group_symop_operation_xyz
'x,y,z'
loop_
_atom_site_label
_atom_site_type_symbol
_atom_site_fract_x
_atom_site_fract_y
_atom_site_fract_z
Ni1 Ni 0.250 0.250 0.250
Tl1 Tl 0.750 0.750 0.750
Lu1 Lu 0.000 0.000 0.000
Mg1 Mg 0.500 0.500 0.500
# Energy of formation ... -163 meV/atom
# Space-group type ... No. 216
# Fermi-level density of states ... 1.39 states/eV/cell
# Spin magnetization ... 0.0 μB per formula unit

***

# PBE-GGA Lu2MgO, relaxed
data_Lu2MgO
_chemical_formula_sum 'Lu2 Mg1 O1'
_cell_length_a 3.398
_cell_length_b 3.398
_cell_length_c 8.199
_cell_angle_alpha 78.04
_cell_angle_beta 78.04
_cell_angle_gamma 60.00
_space_group_name_H-M_alt 'P 1'
_space_group_IT_number 1
loop_
_space_group_symop_operation_xyz
'x,y,z'
loop_
_atom_site_label
_atom_site_type_symbol
_atom_site_fract_x
_atom_site_fract_y
_atom_site_fract_z
Mg1 Mg 0.500 0.500 0.500
Lu1 Lu 0.278 0.278 0.166
Lu2 Lu 0.722 0.722 0.834
O1 O 0.000 0.000 0.000
# Space-group type ... No. 166
# Uncorrected formation energy ... -1.36 eV/atom
# Fermi-level density of states ... 3.49 states/eV/cell
# Spin magnetization ... 0.0 μB per formula unit

***

# PBE-GGA Lu3MgO, relaxed
data_Lu3MgO
_chemical_formula_sum 'Lu3 Mg1 O1'
_cell_length_a 4.717
_cell_length_b 4.717
_cell_length_c 4.717
_cell_angle_alpha 90.00
_cell_angle_beta 90.00
_cell_angle_gamma 90.00
_space_group_name_H-M_alt 'P 1'
_space_group_IT_number 1
loop_
_space_group_symop_operation_xyz
'x,y,z'
loop_
_atom_site_label
_atom_site_type_symbol
_atom_site_fract_x
_atom_site_fract_y
_atom_site_fract_z
Mg1 Mg 0.500 0.500 0.500
Lu1 Lu 0.000 0.500 0.000
Lu2 Lu 0.000 0.000 0.500
Lu3 Lu 0.500 0.000 0.000
O1 O 0.000 0.000 0.000
# Space-group type ... No. 221
# Uncorrected formation energy ... -1.16 eV/atom
# Fermi-level density of states ... 2.82 states/eV/cell
# Spin magnetization ... 0.0 μB per formula unit

***

# PBE-GGA Lu2MgOs, relaxed
data_Lu2MgOs
_chemical_formula_sum 'Lu2 Mg1 Os1'
_cell_length_a 4.898
_cell_length_b 4.898
_cell_length_c 4.898
_cell_angle_alpha 60.00
_cell_angle_beta 60.00
_cell_angle_gamma 60.00
_space_group_name_H-M_alt 'P 1'
_space_group_IT_number 1
loop_
_space_group_symop_operation_xyz
'x,y,z'
loop_
_atom_site_label
_atom_site_type_symbol
_atom_site_fract_x
_atom_site_fract_y
_atom_site_fract_z
Mg1 Mg 0.500 0.500 0.500
Lu1 Lu 0.250 0.250 0.250
Lu2 Lu 0.750 0.750 0.750
Os1 Os 0.000 0.000 0.000
# Energy of formation ... -217 meV/atom
# Space-group type ... No. 225
# Fermi-level density of states ... 3.63 states/eV/cell
# Spin magnetization ... 0.0 μB per formula unit

***

# PBE-GGA Lu2MgOs, relaxed
data_Lu2MgOs
_chemical_formula_sum 'Lu2 Mg1 Os1'
_cell_length_a 3.383
_cell_length_b 3.383
_cell_length_c 7.951
_cell_angle_alpha 90.00
_cell_angle_beta 90.00
_cell_angle_gamma 90.00
_space_group_name_H-M_alt 'P 1'
_space_group_IT_number 1
loop_
_space_group_symop_operation_xyz
'x,y,z'
loop_
_atom_site_label
_atom_site_type_symbol
_atom_site_fract_x
_atom_site_fract_y
_atom_site_fract_z
Mg1 Mg 0.500 0.500 0.500
Lu1 Lu 0.000 0.000 0.799
Lu2 Lu 0.000 0.000 0.201
Os1 Os 0.500 0.500 0.000
# Energy of formation ... -288 meV/atom
# Space-group type ... No. 123
# Fermi-level density of states ... 1.75 states/eV/cell
# Spin magnetization ... 0.0 μB per formula unit

***

# PBE-GGA LuMgOs, relaxed
data_LuMgOs
_chemical_formula_sum 'Lu1 Mg1 Os1'
_cell_length_a 3.385
_cell_length_b 3.385
_cell_length_c 5.711
_cell_angle_alpha 107.24
_cell_angle_beta 107.24
_cell_angle_gamma 90.00
_space_group_name_H-M_alt 'P 1'
_space_group_IT_number 1
loop_
_space_group_symop_operation_xyz
'x,y,z'
loop_
_atom_site_label
_atom_site_type_symbol
_atom_site_fract_x
_atom_site_fract_y
_atom_site_fract_z
Mg1 Mg 0.028 0.028 0.056
Lu1 Lu 0.309 0.309 0.619
Os1 Os 0.663 0.663 0.325
# Energy of formation ... -54 meV/atom
# Space-group type ... No. 107
# Fermi-level density of states ... 2.16 states/eV/cell
# Spin magnetization ... 0.0 μB per formula unit

***

# PBE-GGA Lu2MgOs, relaxed
data_Lu2MgOs
_chemical_formula_sum 'Lu2 Mg1 Os1'
_cell_length_a 3.612
_cell_length_b 4.814
_cell_length_c 4.814
_cell_angle_alpha 90.00
_cell_angle_beta 90.00
_cell_angle_gamma 90.00
_space_group_name_H-M_alt 'P 1'
_space_group_IT_number 1
loop_
_space_group_symop_operation_xyz
'x,y,z'
loop_
_atom_site_label
_atom_site_type_symbol
_atom_site_fract_x
_atom_site_fract_y
_atom_site_fract_z
Mg1 Mg 0.500 0.000 0.000
Lu1 Lu 0.000 0.000 0.500
Lu2 Lu 0.000 0.500 0.000
Os1 Os 0.500 0.500 0.500
# Energy of formation ... -127 meV/atom
# Space-group type ... No. 123
# Fermi-level density of states ... 3.45 states/eV/cell
# Spin magnetization ... 0.0 μB per formula unit

***

# PBE-GGA PmLuMgOs, relaxed
data_PmLuMgOs
_chemical_formula_sum 'Pm1 Lu1 Mg1 Os1'
_cell_length_a 5.010
_cell_length_b 5.010
_cell_length_c 5.010
_cell_angle_alpha 60.00
_cell_angle_beta 60.00
_cell_angle_gamma 60.00
_space_group_name_H-M_alt 'P 1'
_space_group_IT_number 1
loop_
_space_group_symop_operation_xyz
'x,y,z'
loop_
_atom_site_label
_atom_site_type_symbol
_atom_site_fract_x
_atom_site_fract_y
_atom_site_fract_z
Mg1 Mg 0.000 0.000 0.000
Lu1 Lu 0.750 0.750 0.750
Os1 Os 0.500 0.500 0.500
Pm1 Pm 0.250 0.250 0.250
# Energy of formation ... -105 meV/atom
# Space-group type ... No. 216
# Fermi-level density of states ... 3.16 states/eV/cell
# Spin magnetization ... 0.0 μB per formula unit

***

# PBE-GGA PrLuMgOs, relaxed
data_PrLuMgOs
_chemical_formula_sum 'Pr1 Lu1 Mg1 Os1'
_cell_length_a 5.048
_cell_length_b 5.048
_cell_length_c 5.048
_cell_angle_alpha 60.00
_cell_angle_beta 60.00
_cell_angle_gamma 60.00
_space_group_name_H-M_alt 'P 1'
_space_group_IT_number 1
loop_
_space_group_symop_operation_xyz
'x,y,z'
loop_
_atom_site_label
_atom_site_type_symbol
_atom_site_fract_x
_atom_site_fract_y
_atom_site_fract_z
Pr1 Pr 0.000 0.000 0.000
Mg1 Mg 0.750 0.750 0.750
Lu1 Lu 0.500 0.500 0.500
Os1 Os 0.250 0.250 0.250
# Energy of formation ... -58 meV/atom
# Space-group type ... No. 216
# Fermi-level density of states ... 3.10 states/eV/cell
# Spin magnetization ... 0.0 μB per formula unit

***

# PBE-GGA LuPuMgOs, relaxed
data_LuPuMgOs
_chemical_formula_sum 'Lu1 Pu1 Mg1 Os1'
_cell_length_a 4.928
_cell_length_b 4.928
_cell_length_c 4.928
_cell_angle_alpha 60.00
_cell_angle_beta 60.00
_cell_angle_gamma 60.00
_space_group_name_H-M_alt 'P 1'
_space_group_IT_number 1
loop_
_space_group_symop_operation_xyz
'x,y,z'
loop_
_atom_site_label
_atom_site_type_symbol
_atom_site_fract_x
_atom_site_fract_y
_atom_site_fract_z
Mg1 Mg 0.500 0.500 0.500
Lu1 Lu 0.250 0.250 0.250
Os1 Os 0.000 0.000 0.000
Pu1 Pu 0.750 0.750 0.750
# Energy of formation ... -21 meV/atom
# Space-group type ... No. 216
# Fermi-level density of states ... 7.74 states/eV/cell
# Spin magnetization ... 5.5 μB per formula unit

***

# PBE-GGA SmLuMgOs, relaxed
data_SmLuMgOs
_chemical_formula_sum 'Sm1 Lu1 Mg1 Os1'
_cell_length_a 4.997
_cell_length_b 4.997
_cell_length_c 4.997
_cell_angle_alpha 60.00
_cell_angle_beta 60.00
_cell_angle_gamma 60.00
_space_group_name_H-M_alt 'P 1'
_space_group_IT_number 1
loop_
_space_group_symop_operation_xyz
'x,y,z'
loop_
_atom_site_label
_atom_site_type_symbol
_atom_site_fract_x
_atom_site_fract_y
_atom_site_fract_z
Mg1 Mg 0.500 0.500 0.500
Lu1 Lu 0.250 0.250 0.250
Os1 Os 0.000 0.000 0.000
Sm1 Sm 0.750 0.750 0.750
# Energy of formation ... -119 meV/atom
# Space-group type ... No. 216
# Fermi-level density of states ... 3.23 states/eV/cell
# Spin magnetization ... 0.0 μB per formula unit

***

# PBE-GGA LuMgTiOs, relaxed
data_LuMgTiOs
_chemical_formula_sum 'Lu1 Mg1 Ti1 Os1'
_cell_length_a 4.699
_cell_length_b 4.699
_cell_length_c 4.699
_cell_angle_alpha 60.00
_cell_angle_beta 60.00
_cell_angle_gamma 60.00
_space_group_name_H-M_alt 'P 1'
_space_group_IT_number 1
loop_
_space_group_symop_operation_xyz
'x,y,z'
loop_
_atom_site_label
_atom_site_type_symbol
_atom_site_fract_x
_atom_site_fract_y
_atom_site_fract_z
Mg1 Mg 0.500 0.500 0.500
Lu1 Lu 0.750 0.750 0.750
Os1 Os 0.000 0.000 0.000
Ti1 Ti 0.250 0.250 0.250
# Energy of formation ... -150 meV/atom
# Space-group type ... No. 216
# Fermi-level density of states ... 2.92 states/eV/cell
# Spin magnetization ... 0.0 μB per formula unit

***

# PBE-GGA YLuMgOs, relaxed
data_YLuMgOs
_chemical_formula_sum 'Y1 Lu1 Mg1 Os1'
_cell_length_a 4.955
_cell_length_b 4.955
_cell_length_c 4.955
_cell_angle_alpha 60.00
_cell_angle_beta 60.00
_cell_angle_gamma 60.00
_space_group_name_H-M_alt 'P 1'
_space_group_IT_number 1
loop_
_space_group_symop_operation_xyz
'x,y,z'
loop_
_atom_site_label
_atom_site_type_symbol
_atom_site_fract_x
_atom_site_fract_y
_atom_site_fract_z
Y1 Y 0.750 0.750 0.750
Mg1 Mg 0.000 0.000 0.000
Lu1 Lu 0.250 0.250 0.250
Os1 Os 0.500 0.500 0.500
# Energy of formation ... -171 meV/atom
# Space-group type ... No. 216
# Fermi-level density of states ... 3.61 states/eV/cell
# Spin magnetization ... 0.0 μB per formula unit

***

# PBE-GGA Lu2MgP, relaxed
data_Lu2MgP
_chemical_formula_sum 'Lu2 Mg1 P1'
_cell_length_a 3.673
_cell_length_b 3.673
_cell_length_c 9.926
_cell_angle_alpha 79.34
_cell_angle_beta 79.34
_cell_angle_gamma 60.00
_space_group_name_H-M_alt 'P 1'
_space_group_IT_number 1
loop_
_space_group_symop_operation_xyz
'x,y,z'
loop_
_atom_site_label
_atom_site_type_symbol
_atom_site_fract_x
_atom_site_fract_y
_atom_site_fract_z
P1 P 0.500 0.500 0.500
Mg1 Mg 0.000 0.000 0.000
Lu1 Lu 0.112 0.112 0.665
Lu2 Lu 0.888 0.888 0.335
# Energy of formation ... -446 meV/atom
# Space-group type ... No. 166
# Fermi-level density of states ... 4.20 states/eV/cell
# Spin magnetization ... 0.0 μB per formula unit

***

# PBE-GGA LuMgP2, relaxed
data_LuMgP2
_chemical_formula_sum 'Lu1 Mg1 P2'
_cell_length_a 3.910
_cell_length_b 3.910
_cell_length_c 6.556
_cell_angle_alpha 72.65
_cell_angle_beta 72.65
_cell_angle_gamma 60.00
_space_group_name_H-M_alt 'P 1'
_space_group_IT_number 1
loop_
_space_group_symop_operation_xyz
'x,y,z'
loop_
_atom_site_label
_atom_site_type_symbol
_atom_site_fract_x
_atom_site_fract_y
_atom_site_fract_z
P1 P 0.251 0.251 0.246
P2 P 0.749 0.749 0.754
Mg1 Mg 0.000 0.000 0.000
Lu1 Lu 0.500 0.500 0.500
# Energy of formation ... -859 meV/atom
# Space-group type ... No. 166
# Fermi-level density of states ... 2.89 states/eV/cell
# Spin magnetization ... 0.0 μB per formula unit